# Rb2Hg6BiAu GGA-PBE relaxed
# - ΔH_f (0 K): -0.148 eV/atom
data_Rb2Hg6BiAu
_space_group_name_H-M_alt 'P m m n'
_space_group_IT_number 59
_cell_length_a 8.2084
_cell_length_b 10.1290
_cell_length_c 8.5042
_cell_angle_alpha 90.00
_cell_angle_beta 90.00
_cell_angle_gamma 90.00
loop_
_space_group_symop_operation_xyz
'x,y,z'
'-x,-y,-z'
'-x+1/2,-y+1/2,z'
'x+1/2,y+1/2,-z'
'x+1/2,-y,-z'
'-x+1/2,y,z'
'-x,y+1/2,-z'
'x,-y+1/2,z'
loop_
_atom_site_label
_atom_site_type_symbol
_atom_site_fract_x
_atom_site_fract_y
_atom_site_fract_z
Rb1 Rb 0.2500 0.0360 0.2415
Hg1 Hg 0.0635 0.2500 0.8890
Hg2 Hg 0.0723 0.7500 0.5056
Hg3 Hg 0.2500 0.5215 0.6886
Bi1 Bi 0.2500 0.7500 0.9351
Au1 Au 0.2500 0.2500 0.5953